[1]
An optimized crystal structure of LiCdAg2, computed with PBE.

Unit cell a=4.175 b=4.175 c=4.094 alpha=90.00 beta=90.00 gamma=90.00
Element x y z (fractional)
Li  0.500  0.500  0.000
Ag  0.000  0.500  0.500
Ag  0.500  0.000  0.500
Cd  0.000  0.000  0.000

Summary:
E_tot = -2.303 eV/atom

---

[2]
An optimized crystal structure of Gd2DyMg3AgPt2, computed with PBE.

Unit cell a=4.038 b=7.546 c=7.546 alpha=119.87 beta=90.00 gamma=90.00
Element x y z (fractional)
Gd  0.000  0.000  0.580
Mg  0.500  0.747  0.747
Gd  0.000  0.580  0.000
Pt  0.500  0.665  0.334
Dy  0.000  0.420  0.420
Pt  0.500  0.334  0.665
Ag  0.000  0.001  0.001
Mg  0.500  0.252  0.001
Mg  0.500  0.001  0.252

Summary:
E_tot = -4.454 eV/atom

---

[3]
An optimized crystal structure of LuNiAsAu, computed with PBE.

Unit cell a=4.654 b=4.654 c=4.654 alpha=60.00 beta=60.00 gamma=60.00
Element x y z (fractional)
Au  0.500  0.500  0.500
As  0.000  0.000  0.000
Lu  0.250  0.250  0.250
Ni  0.750  0.750  0.750

Summary:
E_tot = -4.964 eV/atom